VASP calculation (PBE-GGA) on crystalline PmGa2CoGe at its relaxed geometry.

The value obtained for the formation energy is -450.9 meV/atom. For the density of states at the Fermi level, the calculation gives 6.98 states/eV/cell.

The space group is Imm2 (No. 44) and the conventional cell measures 4.011, 4.094 and 10.860 Å, with angles of 90.00, 90.00 and 90.00 degrees. The asymmetric unit holds Pm at (0.000, 0.000, 0.000), Ga at (0.000, 0.000, 0.377), Ga at (0.000, 0.500, 0.251), Co at (0.000, 0.500, 0.739) and Ge at (0.000, 0.000, 0.612).

---

VASP calculation (PBE-GGA) on crystalline PrGa2Co2Ge at its relaxed geometry.

The value obtained for the formation energy is -235.9 meV/atom. For the density of states at the Fermi level, the calculation gives 6.14 states/eV/cell.

The space group is P4/mmm (No. 123) and the conventional cell measures 4.363, 4.363 and 5.716 Å, with angles of 90.00, 90.00 and 90.00 degrees. The asymmetric unit holds Pr at (0.000, 0.000, 0.000), Ga at (0.500, 0.500, 0.246), Co at (0.000, 0.500, 0.500) and Ge at (0.000, 0.000, 0.500).

---

VASP calculation (PBE-GGA) on crystalline GaCoGePt2 at its relaxed geometry.

The value obtained for the formation energy is 853.8 meV/atom. For the density of states at the Fermi level, the calculation gives 4.53 states/eV/cell.

The space group is P4/mmm (No. 123) and the conventional cell measures 4.671, 4.671 and 4.706 Å, with angles of 90.00, 90.00 and 90.00 degrees. The asymmetric unit holds Ga at (0.000, 0.000, 0.000), Co at (0.500, 0.500, 0.000), Ge at (0.000, 0.000, 0.500) and Pt at (0.000, 0.500, 0.500).

---

VASP calculation (PBE-GGA) on crystalline Pu2GaCo4Ge3 at its relaxed geometry.

The value obtained for the formation energy is -369.7 meV/atom. For the density of states at the Fermi level, the calculation gives 29.62 states/eV/cell.

The space group is P-4m2 (No. 115) and the conventional cell measures 3.987, 3.987 and 10.031 Å, with angles of 90.00, 90.00 and 90.00 degrees. The asymmetric unit holds Pu at (0.000, 0.500, 0.247), Ga at (0.500, 0.500, 0.000), Co at (0.000, 0.000, 0.500), Co at (0.000, 0.500, 0.861), Co at (0.500, 0.500, 0.500), Ge at (0.000, 0.000, 0.000) and Ge at (0.000, 0.500, 0.626).

---

VASP calculation (PBE-GGA) on crystalline GaCoGeRh at its relaxed geometry.

The value obtained for the formation energy is -304.9 meV/atom. For the density of states at the Fermi level, the calculation gives 4.85 states/eV/cell.

The space group is F-43m (No. 216) and the conventional cell measures 5.984, 5.984 and 5.984 Å, with angles of 90.00, 90.00 and 90.00 degrees. The asymmetric unit holds Ga at (0.000, 0.000, 0.000), Co at (0.250, 0.250, 0.250), Ge at (0.000, 0.000, 0.500) and Rh at (0.250, 0.250, 0.750).

---

VASP calculation (PBE-GGA) on crystalline Sc2GaCo5Ge2 at its relaxed geometry.

The value obtained for the formation energy is -364.1 meV/atom. For the density of states at the Fermi level, the calculation gives 9.13 states/eV/cell.

The space group is P4/mbm (No. 127) and the conventional cell measures 9.113, 9.113 and 3.329 Å, with angles of 90.00, 90.00 and 90.00 degrees. The asymmetric unit holds Sc at (0.173, 0.327, 0.000), Ga at (0.000, 0.000, 0.000), Co at (0.000, 0.500, 0.500), Co at (0.064, 0.796, 0.500) and Ge at (0.125, 0.625, 0.000).

---

VASP calculation (PBE-GGA) on crystalline Sc2GaCo4Ge3 at its relaxed geometry.

The value obtained for the formation energy is -465.5 meV/atom. For the density of states at the Fermi level, the calculation gives 11.00 states/eV/cell.

The space group is P-4m2 (No. 115) and the conventional cell measures 3.885, 3.885 and 9.876 Å, with angles of 90.00, 90.00 and 90.00 degrees. The asymmetric unit holds Sc at (0.000, 0.500, 0.250), Ga at (0.000, 0.000, 0.500), Co at (0.000, 0.000, 0.000), Co at (0.000, 0.500, 0.638), Co at (0.500, 0.500, 0.000), Ge at (0.000, 0.500, 0.868) and Ge at (0.500, 0.500, 0.500).

---

VASP calculation (PBE-GGA) on crystalline ScGaCo2Ge at its relaxed geometry.

The value obtained for the formation energy is 379.9 meV/atom. For the density of states at the Fermi level, the calculation gives 4.02 states/eV/cell.

The space group is P4/mmm (No. 123) and the conventional cell measures 4.360, 4.360 and 4.710 Å, with angles of 90.00, 90.00 and 90.00 degrees. The asymmetric unit holds Sc at (0.000, 0.000, 0.000), Ga at (0.500, 0.500, 0.000), Co at (0.000, 0.500, 0.500) and Ge at (0.500, 0.500, 0.500).

---

VASP calculation (PBE-GGA) on crystalline SmGa2Co2Ge at its relaxed geometry.

The value obtained for the formation energy is -228.4 meV/atom. For the density of states at the Fermi level, the calculation gives 6.16 states/eV/cell.

The space group is P4/mmm (No. 123) and the conventional cell measures 4.350, 4.350 and 5.620 Å, with angles of 90.00, 90.00 and 90.00 degrees. The asymmetric unit holds Sm at (0.000, 0.000, 0.000), Ga at (0.500, 0.500, 0.242), Co at (0.000, 0.500, 0.500) and Ge at (0.000, 0.000, 0.500).

---

VASP calculation (PBE-GGA) on crystalline SrGa2CoGe at its relaxed geometry.

The value obtained for the formation energy is -270.8 meV/atom. For the density of states at the Fermi level, the calculation gives 3.93 states/eV/cell.

The space group is P4/mmm (No. 123) and the conventional cell measures 4.658, 4.658 and 4.665 Å, with angles of 90.00, 90.00 and 90.00 degrees. The asymmetric unit holds Sr at (0.000, 0.000, 0.000), Ga at (0.000, 0.500, 0.500), Co at (0.500, 0.500, 0.500) and Ge at (0.500, 0.500, 0.000).

---

VASP calculation (PBE-GGA) on crystalline GaCoTcGe2 at its relaxed geometry.

The value obtained for the formation energy is 749.2 meV/atom. For the density of states at the Fermi level, the calculation gives 14.05 states/eV/cell.

The space group is P4/mmm (No. 123) and the conventional cell measures 4.747, 4.747 and 4.842 Å, with angles of 90.00, 90.00 and 90.00 degrees. The asymmetric unit holds Ga at (0.000, 0.000, 0.000), Co at (0.500, 0.500, 0.000), Tc at (0.000, 0.000, 0.500) and Ge at (0.000, 0.500, 0.500).

---

VASP calculation (PBE-GGA) on crystalline GaCoTcGe at its relaxed geometry.

The value obtained for the formation energy is -104.2 meV/atom. For the density of states at the Fermi level, the calculation gives 7.07 states/eV/cell.

The space group is F-43m (No. 216) and the conventional cell measures 5.973, 5.973 and 5.973 Å, with angles of 90.00, 90.00 and 90.00 degrees. The asymmetric unit holds Ga at (0.000, 0.000, 0.000), Co at (0.250, 0.250, 0.750), Tc at (0.250, 0.250, 0.250) and Ge at (0.000, 0.000, 0.500).

---

VASP calculation (PBE-GGA) on crystalline Th2Ga3Co4Ge at its relaxed geometry.

The value obtained for the formation energy is -465.5 meV/atom. For the density of states at the Fermi level, the calculation gives 6.39 states/eV/cell.

The space group is P-4m2 (No. 115) and the conventional cell measures 4.174, 4.174 and 9.620 Å, with angles of 90.00, 90.00 and 90.00 degrees. The asymmetric unit holds Th at (0.000, 0.500, 0.245), Ga at (0.000, 0.500, 0.876), Ga at (0.500, 0.500, 0.500), Co at (0.000, 0.000, 0.000), Co at (0.000, 0.500, 0.629), Co at (0.500, 0.500, 0.000) and Ge at (0.000, 0.000, 0.500).

---

VASP calculation (PBE-GGA) on crystalline Th2GaCo6Ge at its relaxed geometry.

The value obtained for the formation energy is 130.4 meV/atom. For the density of states at the Fermi level, the calculation gives 32.82 states/eV/cell.

The space group is Fm-3m (No. 225) and the conventional cell measures 8.757, 8.757 and 8.757 Å, with angles of 90.00, 90.00 and 90.00 degrees. The asymmetric unit holds Th at (0.250, 0.250, 0.250), Ga at (0.000, 0.000, 0.000), Co at (0.000, 0.000, 0.251) and Ge at (0.000, 0.000, 0.500).

---

VASP calculation (PBE-GGA) on crystalline Th2GaCo4Ge3 at its relaxed geometry.

The value obtained for the formation energy is -584.3 meV/atom. For the density of states at the Fermi level, the calculation gives 8.43 states/eV/cell.

The space group is P-4m2 (No. 115) and the conventional cell measures 4.087, 4.087 and 9.942 Å, with angles of 90.00, 90.00 and 90.00 degrees. The asymmetric unit holds Th at (0.000, 0.500, 0.247), Ga at (0.500, 0.500, 0.000), Co at (0.000, 0.000, 0.500), Co at (0.000, 0.500, 0.864), Co at (0.500, 0.500, 0.500), Ge at (0.000, 0.000, 0.000) and Ge at (0.000, 0.500, 0.626).

---

VASP calculation (PBE-GGA) on crystalline Th2Ga4CoGe2 at its relaxed geometry.

The value obtained for the formation energy is -478.1 meV/atom. For the density of states at the Fermi level, the calculation gives 11.47 states/eV/cell.

The space group is I4/mmm (No. 139) and the conventional cell measures 6.221, 6.221 and 8.995 Å, with angles of 90.00, 90.00 and 90.00 degrees. The asymmetric unit holds Th at (0.000, 0.500, 0.250), Ga at (0.222, 0.222, 0.000), Co at (0.000, 0.000, 0.500) and Ge at (0.000, 0.000, 0.229).

---

VASP calculation (PBE-GGA) on crystalline Ti2GaCoGe at its relaxed geometry.

The value obtained for the formation energy is 55.7 meV/atom. For the density of states at the Fermi level, the calculation gives 3.89 states/eV/cell.

The space group is P4/mmm (No. 123) and the conventional cell measures 4.513, 4.513 and 4.354 Å, with angles of 90.00, 90.00 and 90.00 degrees. The asymmetric unit holds Ti at (0.000, 0.500, 0.000), Ga at (0.000, 0.000, 0.500), Co at (0.500, 0.500, 0.000) and Ge at (0.500, 0.500, 0.500).

---

VASP calculation (PBE-GGA) on crystalline Tm2GaCo5Ge2 at its relaxed geometry.

The value obtained for the formation energy is -325.6 meV/atom. For the density of states at the Fermi level, the calculation gives 8.66 states/eV/cell.

The space group is P4/mbm (No. 127) and the conventional cell measures 9.365, 9.365 and 3.348 Å, with angles of 90.00, 90.00 and 90.00 degrees. The asymmetric unit holds Tm at (0.175, 0.325, 0.000), Ga at (0.000, 0.000, 0.000), Co at (0.000, 0.500, 0.500), Co at (0.064, 0.793, 0.500) and Ge at (0.123, 0.623, 0.000).

---

VASP calculation (PBE-GGA) on crystalline UGaCo3Ge at its relaxed geometry.

The value obtained for the formation energy is -37.9 meV/atom. For the density of states at the Fermi level, the calculation gives 22.35 states/eV/cell.

The space group is Cmcm (No. 63) and the conventional cell measures 5.232, 11.324 and 6.171 Å, with angles of 90.00, 90.00 and 90.00 degrees. The asymmetric unit holds U at (0.000, 0.151, 0.250), Ga at (0.000, 0.406, 0.250), Co at (0.000, 0.350, 0.750), Co at (0.233, 0.000, 0.000) and Ge at (0.000, 0.141, 0.750).

---

VASP calculation (PBE-GGA) on crystalline U2GaCo4Ge3 at its relaxed geometry.

The value obtained for the formation energy is -339.6 meV/atom. For the density of states at the Fermi level, the calculation gives 8.98 states/eV/cell.

The space group is P-4m2 (No. 115) and the conventional cell measures 3.855, 3.855 and 10.324 Å, with angles of 90.00, 90.00 and 90.00 degrees. The asymmetric unit holds U at (0.000, 0.500, 0.248), Ga at (0.500, 0.500, 0.000), Co at (0.000, 0.000, 0.500), Co at (0.000, 0.500, 0.850), Co at (0.500, 0.500, 0.500), Ge at (0.000, 0.000, 0.000) and Ge at (0.000, 0.500, 0.627).